CaMg2Pt: optimized geometry, PBE.

Computed properties:
- Density: 5.6 Mg/m³
- E_tot: -12.98 eV/cell
- ΔH_f (0 K): -0.44 eV/atom

CIF file:
```
data_CaMg2Pt
_cell_length_a 4.9113
_cell_length_b 4.9113
_cell_length_c 4.9113
_cell_angle_alpha 119.74
_cell_angle_beta 119.74
_cell_angle_gamma 90.44
_space_group_name_H-M_alt 'P 1'
_space_group_IT_number 1
loop_
_space_group_symop_operation_xyz
'x,y,z'
loop_
_atom_site_label
_atom_site_type_symbol
_atom_site_fract_x
_atom_site_fract_y
_atom_site_fract_z
_atom_site_occupancy
Mg1 Mg 0.2500 0.7500 0.5000 1
Mg2 Mg 0.0000 0.0000 0.0000 1
Ca1 Ca 0.7500 0.2500 0.5000 1
Pt1 Pt 0.5000 0.5000 0.0000 1
```